No. 1
This record from Alexandria via LeMat-Bulk describes an optimized crystal structure of LaBeW2. The functional is PBE.

Output
SG: No. 47
Energy relative to the elements in meV/atom: 882
Volume in Å³/cell: 72.7

abc: 3.2195 4.7104 4.7920
angles: 90.00 90.00 90.00
Element x y z (fractional)
Be1 0.5000 0.0000 0.5000
W1 0.0000 0.0000 0.0000
W2 0.5000 0.5000 0.0000
La1 0.0000 0.5000 0.5000


No. 2
This record from Alexandria via LeMat-Bulk describes an optimized crystal structure of Sr2LiZn4Rh3. The functional is PBE.

Output
SG: No. 115
Energy relative to the elements in meV/atom: -350
Volume in Å³/cell: 196.9

abc: 4.3526 4.3526 10.3920
angles: 90.00 90.00 90.00
Element x y z (fractional)
Sr1 0.5000 0.0000 0.2434
Sr2 0.0000 0.5000 0.7566
Li1 0.5000 0.5000 0.5000
Zn1 0.5000 0.5000 0.0000
Zn2 0.0000 0.0000 0.0000
Zn3 0.5000 0.0000 0.6284
Zn4 0.0000 0.5000 0.3716
Rh1 0.0000 0.0000 0.5000
Rh2 0.5000 0.0000 0.8699
Rh3 0.0000 0.5000 0.1301


No. 3
This record from Alexandria via LeMat-Bulk describes an optimized crystal structure of Li2DyCd2. The functional is PBE.

Output
SG: No. 12
Energy relative to the elements in meV/atom: -229
Volume in Å³/cell: 215.7

abc: 3.4868 6.9621 10.4412
angles: 119.85 99.61 90.00
Element x y z (fractional)
Li1 0.2039 0.5551 0.4077
Li2 0.7961 0.9449 0.5923
Li3 0.7961 0.4449 0.5923
Li4 0.2039 0.0551 0.4077
Dy1 0.0000 0.2500 0.0000
Dy2 0.0000 0.7500 0.0000
Cd1 0.3804 0.8213 0.7607
Cd2 0.3804 0.3213 0.7607
Cd3 0.6196 0.1787 0.2393
Cd4 0.6196 0.6787 0.2393


No. 4
This record from Alexandria via LeMat-Bulk describes an optimized crystal structure of YRhC2. The functional is PBE.

Output
SG: No. 122
Energy relative to the elements in meV/atom: 403
Volume in Å³/cell: 123.5

abc: 4.8171 4.8171 6.3175
angles: 67.59 67.59 90.00
Element x y z (fractional)
Y1 0.5000 0.5000 0.0000
Y2 0.2500 0.7500 0.5000
C1 0.7068 0.1250 0.2500
C2 0.0432 0.6250 0.2500
C3 0.3750 0.2932 0.7500
C4 0.8750 0.9568 0.7500
Rh1 0.0000 0.0000 0.0000
Rh2 0.7500 0.2500 0.5000


No. 5
This record from Alexandria via LeMat-Bulk describes an optimized crystal structure of MgAlTl2. The functional is PBE.

Output
SG: No. 6
Energy relative to the elements in meV/atom: 127
Volume in Å³/cell: 100.4

abc: 4.4574 3.2855 7.7327
angles: 62.46 90.00 90.00
Element x y z (fractional)
Al1 0.0000 0.4841 0.5220
Mg1 0.5000 0.7804 0.7259
Tl1 0.0000 0.0202 0.9813
Tl2 0.5000 0.2152 0.2708


No. 6
This record from Alexandria via LeMat-Bulk describes an optimized crystal structure of Tm3U2C4. The functional is PBE.

Output
SG: No. 12
Energy relative to the elements in meV/atom: -219
Volume in Å³/cell: 156.6

abc: 3.6276 6.0885 7.6451
angles: 86.79 76.28 72.67
Element x y z (fractional)
Tm1 0.0000 0.0000 0.0000
Tm2 0.1747 0.4562 0.1945
Tm3 0.8253 0.5438 0.8055
U1 0.6590 0.0671 0.6149
U2 0.3410 0.9329 0.3851
C1 0.7670 0.1684 0.2976
C2 0.2330 0.8316 0.7024
C3 0.4252 0.2729 0.8767
C4 0.5748 0.7271 0.1233


No. 7
This record from Alexandria via LeMat-Bulk describes an optimized crystal structure of Dy3HoMg7. The functional is PBE.

Output
SG: No. 12
Energy relative to the elements in meV/atom: 200
Volume in Å³/cell: 315.5

abc: 6.0602 8.4533 8.4533
angles: 74.13 121.40 121.40
Element x y z (fractional)
Dy1 0.0000 0.8070 0.1930
Dy2 0.5000 0.0000 0.0000
Dy3 0.0000 0.1930 0.8070
Ho1 0.5000 0.5000 0.5000
Mg1 0.4532 0.2377 0.2377
Mg2 0.3048 0.0524 0.5641
Mg3 0.6952 0.4359 0.9476
Mg4 0.3048 0.5641 0.0524
Mg5 0.0000 0.5000 0.5000
Mg6 0.6952 0.9476 0.4359
Mg7 0.5468 0.7623 0.7623


No. 8
This record from Alexandria via LeMat-Bulk describes an optimized crystal structure of Nd5Ho2Mg. The functional is PBE.

Output
SG: No. 8
Energy relative to the elements in meV/atom: 1
Volume in Å³/cell: 260.4

abc: 7.1479 7.1481 7.1479
angles: 90.98 119.46 119.41
Element x y z (fractional)
Nd1 0.2782 0.2785 0.5004
Nd2 0.2776 0.7775 0.9995
Nd3 0.7779 0.2767 0.9994
Nd4 0.7776 0.7785 0.5007
Nd5 0.2794 0.2785 0.0007
Ho1 0.2762 0.7775 0.4989
Ho2 0.7776 0.2778 0.4997
Mg1 0.7785 0.7779 0.0007